Density functional theory data (PBE-GGA) for a relaxed Dy2Ge2Rh5Au crystal. Values from VASP.

Magnetic moment (μB per formula unit): 0.00
Symmetry: P4/mbm (127)
ΔE_f (eV per atom): -0.727

Cell and atoms, written as Quantum ESPRESSO input:
```
&SYSTEM
  ibrav = 0, nat = 20, ntyp = 4
/
ATOMIC_SPECIES
Dy 162.50 Dy.upf
Ge 72.64 Ge.upf
Rh 102.91 Rh.upf
Au 196.97 Au.upf
ATOMIC_POSITIONS crystal
Dy 0.1745 0.3255 0.0000
Dy 0.3255 0.8255 0.0000
Dy 0.6745 0.1745 0.0000
Dy 0.8255 0.6745 0.0000
Ge 0.1247 0.6247 0.0000
Ge 0.3753 0.1247 0.0000
Ge 0.6247 0.8753 0.0000
Ge 0.8753 0.3753 0.0000
Rh 0.0000 0.5000 0.5000
Rh 0.0678 0.7902 0.5000
Rh 0.2098 0.0678 0.5000
Rh 0.2902 0.5678 0.5000
Rh 0.4322 0.2902 0.5000
Rh 0.5000 0.0000 0.5000
Rh 0.5678 0.7098 0.5000
Rh 0.7098 0.4322 0.5000
Rh 0.7902 0.9322 0.5000
Rh 0.9322 0.2098 0.5000
Au 0.0000 0.0000 0.0000
Au 0.5000 0.5000 0.0000
CELL_PARAMETERS angstrom
9.7250 0.0000 0.0000
0.0000 9.7250 0.0000
0.0000 0.0000 3.6347
```

Density functional theory data (PBE-GGA) for a relaxed Dy8Ge3AuSe4 crystal. Values from VASP.

Formation energy from raw total energies (eV/atom): -1.344
Magnetic moment (μB per formula unit): 0.00
Symmetry: R-3m (166)

Cell and atoms, written as Quantum ESPRESSO input:
```
&SYSTEM
  ibrav = 0, nat = 16, ntyp = 4
/
ATOMIC_SPECIES
Dy 162.50 Dy.upf
Ge 72.64 Ge.upf
Au 196.97 Au.upf
Se 78.96 Se.upf
ATOMIC_POSITIONS crystal
Dy 0.2401 0.7519 0.7519
Dy 0.2458 0.2458 0.2458
Dy 0.2481 0.2481 0.7599
Dy 0.2481 0.7599 0.2481
Dy 0.7519 0.2401 0.7519
Dy 0.7519 0.7519 0.2401
Dy 0.7542 0.7542 0.7542
Dy 0.7599 0.2481 0.2481
Ge 0.0000 0.0000 0.5000
Ge 0.0000 0.5000 0.0000
Ge 0.5000 0.0000 0.0000
Au 0.5000 0.5000 0.5000
Se 0.0000 0.0000 0.0000
Se 0.0000 0.5000 0.5000
Se 0.5000 0.0000 0.5000
Se 0.5000 0.5000 0.0000
CELL_PARAMETERS angstrom
4.1161 2.3765 6.8161
-4.1161 2.3765 6.8161
0.0000 -4.7529 6.8161
```

Density functional theory data (PBE-GGA) for a relaxed SmDyGeAu crystal. Values from VASP.

Distance to the lowest polymorph of the same formula (eV per atom): 0.000
Magnetic moment (μB per formula unit): 0.00
Symmetry: Amm2 (38)
ΔE_f (eV per atom): -0.835

Cell and atoms, written as Quantum ESPRESSO input:
```
&SYSTEM
  ibrav = 0, nat = 8, ntyp = 4
/
ATOMIC_SPECIES
Sm 150.36 Sm.upf
Dy 162.50 Dy.upf
Ge 72.64 Ge.upf
Au 196.97 Au.upf
ATOMIC_POSITIONS crystal
Sm 0.0000 0.0000 0.0000
Sm 0.0000 0.5000 0.5000
Dy 0.5000 0.0000 0.2778
Dy 0.5000 0.5000 0.7778
Ge 0.0000 0.0000 0.7281
Ge 0.0000 0.5000 0.2281
Au 0.5000 0.0000 0.5591
Au 0.5000 0.5000 0.0591
CELL_PARAMETERS angstrom
4.3608 0.0000 0.0000
0.0000 4.0888 0.0000
0.0000 0.0000 11.0704
```

Density functional theory data (PBE-GGA) for a relaxed SmDyGeAu crystal. Values from VASP.

Distance to the lowest polymorph of the same formula (eV per atom): 0.097
Magnetic moment (μB per formula unit): 0.64
Symmetry: F-43m (216)
ΔE_f (eV per atom): -0.738

Cell and atoms, written as Quantum ESPRESSO input:
```
&SYSTEM
  ibrav = 0, nat = 16, ntyp = 4
/
ATOMIC_SPECIES
Sm 150.36 Sm.upf
Dy 162.50 Dy.upf
Ge 72.64 Ge.upf
Au 196.97 Au.upf
ATOMIC_POSITIONS crystal
Sm 0.0000 0.0000 0.0000
Sm 0.0000 0.5000 0.5000
Sm 0.5000 0.0000 0.5000
Sm 0.5000 0.5000 0.0000
Dy 0.0000 0.0000 0.5000
Dy 0.0000 0.5000 0.0000
Dy 0.5000 0.0000 0.0000
Dy 0.5000 0.5000 0.5000
Ge 0.2500 0.2500 0.7500
Ge 0.2500 0.7500 0.2500
Ge 0.7500 0.2500 0.2500
Ge 0.7500 0.7500 0.7500
Au 0.2500 0.2500 0.2500
Au 0.2500 0.7500 0.7500
Au 0.7500 0.2500 0.7500
Au 0.7500 0.7500 0.2500
CELL_PARAMETERS angstrom
7.2564 0.0000 0.0000
0.0000 7.2564 0.0000
0.0000 0.0000 7.2564
```

Density functional theory data (PBE-GGA) for a relaxed DySnGeAu crystal. Values from VASP.

Magnetic moment (μB per formula unit): 0.00
Symmetry: F-43m (216)
ΔE_f (eV per atom): -0.385

Cell and atoms, written as Quantum ESPRESSO input:
```
&SYSTEM
  ibrav = 0, nat = 16, ntyp = 4
/
ATOMIC_SPECIES
Dy 162.50 Dy.upf
Sn 118.71 Sn.upf
Ge 72.64 Ge.upf
Au 196.97 Au.upf
ATOMIC_POSITIONS crystal
Dy 0.0000 0.0000 0.0000
Dy 0.0000 0.5000 0.5000
Dy 0.5000 0.0000 0.5000
Dy 0.5000 0.5000 0.0000
Sn 0.0000 0.0000 0.5000
Sn 0.0000 0.5000 0.0000
Sn 0.5000 0.0000 0.0000
Sn 0.5000 0.5000 0.5000
Ge 0.2500 0.2500 0.2500
Ge 0.2500 0.7500 0.7500
Ge 0.7500 0.2500 0.7500
Ge 0.7500 0.7500 0.2500
Au 0.2500 0.2500 0.7500
Au 0.2500 0.7500 0.2500
Au 0.7500 0.2500 0.2500
Au 0.7500 0.7500 0.7500
CELL_PARAMETERS angstrom
7.1350 0.0000 0.0000
0.0000 7.1350 0.0000
0.0000 0.0000 7.1350
```

Density functional theory data (PBE-GGA) for a relaxed TbDyGeAu crystal. Values from VASP.

Distance to the lowest polymorph of the same formula (eV per atom): 0.110
Magnetic moment (μB per formula unit): 0.52
Symmetry: F-43m (216)
ΔE_f (eV per atom): -0.751

Cell and atoms, written as Quantum ESPRESSO input:
```
&SYSTEM
  ibrav = 0, nat = 16, ntyp = 4
/
ATOMIC_SPECIES
Tb 158.93 Tb.upf
Dy 162.50 Dy.upf
Ge 72.64 Ge.upf
Au 196.97 Au.upf
ATOMIC_POSITIONS crystal
Tb 0.0000 0.0000 0.0000
Tb 0.0000 0.5000 0.5000
Tb 0.5000 0.0000 0.5000
Tb 0.5000 0.5000 0.0000
Dy 0.0000 0.0000 0.5000
Dy 0.0000 0.5000 0.0000
Dy 0.5000 0.0000 0.0000
Dy 0.5000 0.5000 0.5000
Ge 0.2500 0.2500 0.7500
Ge 0.2500 0.7500 0.2500
Ge 0.7500 0.2500 0.2500
Ge 0.7500 0.7500 0.7500
Au 0.2500 0.2500 0.2500
Au 0.2500 0.7500 0.7500
Au 0.7500 0.2500 0.7500
Au 0.7500 0.7500 0.2500
CELL_PARAMETERS angstrom
7.1955 0.0000 0.0000
0.0000 7.1955 0.0000
0.0000 0.0000 7.1955
```

Density functional theory data (PBE-GGA) for a relaxed TbDyGeAu crystal. Values from VASP.

Distance to the lowest polymorph of the same formula (eV per atom): 0.000
Magnetic moment (μB per formula unit): 0.00
Symmetry: Amm2 (38)
ΔE_f (eV per atom): -0.860

Cell and atoms, written as Quantum ESPRESSO input:
```
&SYSTEM
  ibrav = 0, nat = 8, ntyp = 4
/
ATOMIC_SPECIES
Tb 158.93 Tb.upf
Dy 162.50 Dy.upf
Ge 72.64 Ge.upf
Au 196.97 Au.upf
ATOMIC_POSITIONS crystal
Tb 0.0000 0.0000 0.0000
Tb 0.0000 0.5000 0.5000
Dy 0.5000 0.0000 0.7219
Dy 0.5000 0.5000 0.2219
Ge 0.0000 0.0000 0.2737
Ge 0.0000 0.5000 0.7737
Au 0.5000 0.0000 0.4445
Au 0.5000 0.5000 0.9445
CELL_PARAMETERS angstrom
4.3264 0.0000 0.0000
0.0000 4.0568 0.0000
0.0000 0.0000 10.9571
```

Density functional theory data (PBE-GGA) for a relaxed Dy8Ge3Te4Au crystal. Values from VASP.

Formation energy from raw total energies (eV/atom): -1.137
Magnetic moment (μB per formula unit): 0.00
Symmetry: R-3m (166)

Cell and atoms, written as Quantum ESPRESSO input:
```
&SYSTEM
  ibrav = 0, nat = 16, ntyp = 4
/
ATOMIC_SPECIES
Dy 162.50 Dy.upf
Ge 72.64 Ge.upf
Te 127.60 Te.upf
Au 196.97 Au.upf
ATOMIC_POSITIONS crystal
Dy 0.2336 0.7456 0.7456
Dy 0.2399 0.2399 0.2399
Dy 0.2544 0.2544 0.7664
Dy 0.2544 0.7664 0.2544
Dy 0.7456 0.2336 0.7456
Dy 0.7456 0.7456 0.2336
Dy 0.7601 0.7601 0.7601
Dy 0.7664 0.2544 0.2544
Ge 0.0000 0.0000 0.5000
Ge 0.0000 0.5000 0.0000
Ge 0.5000 0.0000 0.0000
Te 0.0000 0.0000 0.0000
Te 0.0000 0.5000 0.5000
Te 0.5000 0.0000 0.5000
Te 0.5000 0.5000 0.0000
Au 0.5000 0.5000 0.5000
CELL_PARAMETERS angstrom
4.2420 2.4491 7.0939
-4.2420 2.4491 7.0939
0.0000 -4.8983 7.0939
```

Density functional theory data (PBE-GGA) for a relaxed DyZnGeAu crystal. Values from VASP.

Magnetic moment (μB per formula unit): 0.00
Symmetry: F-43m (216)
ΔE_f (eV per atom): -0.468

Cell and atoms, written as Quantum ESPRESSO input:
```
&SYSTEM
  ibrav = 0, nat = 16, ntyp = 4
/
ATOMIC_SPECIES
Dy 162.50 Dy.upf
Zn 65.41 Zn.upf
Ge 72.64 Ge.upf
Au 196.97 Au.upf
ATOMIC_POSITIONS crystal
Dy 0.0000 0.0000 0.0000
Dy 0.0000 0.5000 0.5000
Dy 0.5000 0.0000 0.5000
Dy 0.5000 0.5000 0.0000
Zn 0.0000 0.0000 0.5000
Zn 0.0000 0.5000 0.0000
Zn 0.5000 0.0000 0.0000
Zn 0.5000 0.5000 0.5000
Ge 0.2500 0.2500 0.2500
Ge 0.2500 0.7500 0.7500
Ge 0.7500 0.2500 0.7500
Ge 0.7500 0.7500 0.2500
Au 0.2500 0.2500 0.7500
Au 0.2500 0.7500 0.2500
Au 0.7500 0.2500 0.2500
Au 0.7500 0.7500 0.7500
CELL_PARAMETERS angstrom
6.8318 0.0000 0.0000
0.0000 6.8318 0.0000
0.0000 0.0000 6.8318
```

Density functional theory data (PBE-GGA) for a relaxed DyHAu crystal. Values from VASP.

Distance to the lowest polymorph of the same formula (eV per atom): 0.000
Magnetic moment (μB per formula unit): 0.00
Symmetry: P4/nmm (129)

Cell and atoms, written as Quantum ESPRESSO input:
```
&SYSTEM
  ibrav = 0, nat = 6, ntyp = 3
/
ATOMIC_SPECIES
Dy 162.50 Dy.upf
H 1.01 H.upf
Au 196.97 Au.upf
ATOMIC_POSITIONS crystal
Dy 0.2500 0.2500 0.1781
Dy 0.7500 0.7500 0.8219
H 0.2500 0.7500 0.0000
H 0.7500 0.2500 0.0000
Au 0.2500 0.2500 0.6125
Au 0.7500 0.7500 0.3875
CELL_PARAMETERS angstrom
3.7300 0.0000 0.0000
0.0000 3.7300 0.0000
0.0000 0.0000 7.0158
```

Fermi-level density of states values (in states/eV/f.u.) by entry order: 5.6; 7.0; 2.4; 3.7; 3.0; 3.8; 2.3; 7.4; 1.0; 1.2.